Material: NdEr2ZrP4
Method: DFT, GGA-PBE
State: optimized geometry

Calculated values
DFT total energy: -7.015 eV per atom
N(E_F): 0.193 states/eV per atom

```
data_NdEr2ZrP4
_chemical_formula_sum 'Nd1 Er2 Zr1 P4'
_cell_length_a 6.833
_cell_length_b 3.951
_cell_length_c 6.857
_cell_angle_alpha 90.00
_cell_angle_beta 109.25
_cell_angle_gamma 90.00
_symmetry_space_group_name_H-M 'P 1 2/m 1'
_symmetry_Int_Tables_number 10
_symmetry_space_group_name_Hall '-P 2y'
loop_
_atom_site_label
_atom_site_fract_x
_atom_site_fract_y
_atom_site_fract_z
Nd1 0.000 0.000 0.000
Er1 0.500 0.000 0.500
Er2 0.500 0.500 0.000
Zr1 0.000 0.500 0.500
P1 0.245 0.000 0.737
P2 0.253 0.500 0.264
```